# 1
4
Lattice="4.987 0.000 0.000 0.000 3.927 0.000 0.000 0.000 3.927" Properties=species:S:1:pos:R:3 comment="CaTa2Rh | Alexandria | GGA-PBE | optimized geometry" e_above_lowest_polymorph_ev_per_atom=0.362 ef_ev_per_atom=0.35 vol_a3_per_atom=19.23 e_tot_ev_per_atom=-7.9103 m_tot_mub_per_cell=0.00 pbc="T T T"
Ca 2.494 1.963 0.000
Rh 2.494 0.000 1.963
Ta 0.000 0.000 0.000
Ta 0.000 1.963 1.963


# 2
4
Lattice="4.897 0.000 0.000 0.000 4.897 0.000 0.000 0.000 3.053" Properties=species:S:1:pos:R:3 comment="CaTa2Rh | Alexandria | GGA-PBE | optimized geometry" e_above_lowest_polymorph_ev_per_atom=0.616 ef_ev_per_atom=0.61 vol_a3_per_atom=18.30 e_tot_ev_per_atom=-7.6563 m_tot_mub_per_cell=0.00 pbc="T T T"
Ca 2.449 0.000 1.526
Rh 0.000 2.449 1.526
Ta 0.000 0.000 0.000
Ta 2.449 2.449 0.000


# 3
5
Lattice="-2.697 -1.081 3.619 -0.288 -4.375 -1.521 3.766 -1.108 2.475" Properties=species:S:1:pos:R:3 comment="CaTa3Rh | Alexandria | GGA-PBE | optimized geometry" e_above_lowest_polymorph_ev_per_atom=1.656 ef_ev_per_atom=2.59 vol_a3_per_atom=20.00 e_tot_ev_per_atom=-6.3907 m_tot_mub_per_cell=0.00 pbc="T T T"
Ca 0.000 0.000 0.000
Rh 0.391 -3.282 2.287
Ta -0.144 -2.188 -0.761
Ta 1.883 -0.554 1.238
Ta -1.348 -0.541 1.810


# 4
4
Lattice="2.903 0.044 0.000 -0.088 2.902 0.000 0.000 0.000 9.409" Properties=species:S:1:pos:R:3 comment="CaTa2Rh | Alexandria | GGA-PBE | optimized geometry" e_above_lowest_polymorph_ev_per_atom=0.256 ef_ev_per_atom=0.25 vol_a3_per_atom=19.83 e_tot_ev_per_atom=-8.0159 m_tot_mub_per_cell=0.00 pbc="T T T"
Ca 1.408 1.473 2.352
Rh 1.408 1.473 7.057
Ta 0.000 0.000 8.945
Ta 0.000 0.000 5.169


# 5
4
Lattice="-4.909 2.182 2.430 -5.369 -1.406 -1.992 5.049 -2.600 1.585" Properties=species:S:1:pos:R:3 comment="Ca2TaRh | Alexandria | GGA-PBE | optimized geometry" e_above_lowest_polymorph_ev_per_atom=0.473 ef_ev_per_atom=0.43 vol_a3_per_atom=21.04 e_tot_ev_per_atom=-5.3693 m_tot_mub_per_cell=0.00 pbc="T T T"
Ca 0.000 0.000 0.000
Ca -5.139 0.388 0.219
Rh -2.729 -1.809 -0.094
Ta -2.500 -0.015 2.117


# 6
8
Lattice="-8.712 -2.799 4.705 4.354 -8.902 2.768 -1.399 -4.832 5.786" Properties=species:S:1:pos:R:3 comment="Ca2TaRh | Alexandria | GGA-PBE | optimized geometry" e_above_lowest_polymorph_ev_per_atom=0.607 ef_ev_per_atom=0.57 vol_a3_per_atom=32.01 e_tot_ev_per_atom=-5.2359 m_tot_mub_per_cell=2.64 pbc="T T T"
Ca -3.996 -3.667 4.056
Ca 0.028 -7.525 4.442
Ca -2.057 -9.294 7.541
Ca -5.490 -12.580 10.480
Rh -2.179 -5.850 3.736
Rh 0.388 -9.792 6.145
Ta 0.000 0.000 0.000
Ta -6.145 -6.740 7.114


# 7
4
Lattice="3.124 0.000 0.000 0.000 3.126 0.001 0.000 3.122 8.388" Properties=species:S:1:pos:R:3 comment="CaTa2Rh | Alexandria | GGA-PBE | optimized geometry" e_above_lowest_polymorph_ev_per_atom=0.000 ef_ev_per_atom=-0.01 vol_a3_per_atom=20.48 e_tot_ev_per_atom=-8.2722 m_tot_mub_per_cell=0.00 pbc="T T T"
Ca 0.000 3.126 4.458
Rh 1.562 4.684 6.693
Ta 0.000 3.121 8.145
Ta 1.562 1.562 1.676


# 8
5
Lattice="4.639 0.000 0.000 0.000 5.348 0.000 0.000 0.000 4.639" Properties=species:S:1:pos:R:3 comment="CaTaTeRh2 | Alexandria | GGA-PBE | optimized geometry" raw_formation_energy_ev_per_fu=7.82 e_above_lowest_polymorph_ev_per_atom=1.038 vol_a3_per_atom=23.02 e_tot_ev_per_atom=-4.7766 m_tot_mub_per_cell=0.00 pbc="T T T"
Ca 0.000 0.000 0.000
Te 0.000 2.674 0.000
Rh 0.000 0.000 2.320
Rh 2.320 0.000 0.000
Ta 2.320 2.674 2.320


# 9
5
Lattice="4.700 0.000 0.000 0.000 5.959 0.000 0.000 0.000 4.700" Properties=species:S:1:pos:R:3 comment="CaTaTeRh2 | Alexandria | GGA-PBE | optimized geometry" raw_formation_energy_ev_per_fu=2.63 e_above_lowest_polymorph_ev_per_atom=0.000 vol_a3_per_atom=26.33 e_tot_ev_per_atom=-5.8142 m_tot_mub_per_cell=0.00 pbc="T T T"
Ca 0.000 2.980 0.000
Te 2.350 2.980 2.350
Rh 0.000 0.000 2.350
Rh 2.350 0.000 0.000
Ta 0.000 0.000 0.000


# 10
5
Lattice="5.194 0.000 0.000 0.000 4.845 0.000 0.000 0.000 5.194" Properties=species:S:1:pos:R:3 comment="Ca2TaZnRh | Alexandria | GGA-PBE | optimized geometry" ef_ev_per_atom=0.97 vol_a3_per_atom=26.14 e_tot_ev_per_atom=-3.9257 m_tot_mub_per_cell=0.00 pbc="T T T"
Zn 0.000 0.000 0.000
Rh 2.597 2.422 2.597
Ca 0.000 0.000 2.597
Ca 2.597 0.000 0.000
Ta 0.000 2.422 0.000


# 11
6
Lattice="-1.414 -0.080 -3.106 -2.500 -1.998 1.189 -5.664 8.492 2.359" Properties=species:S:1:pos:R:3 comment="CaTb2Rh3 | Alexandria | GGA-PBE | optimized geometry" ef_ev_per_atom=-0.71 vol_a3_per_atom=20.35 e_tot_ev_per_atom=-6.2610 m_tot_mub_per_cell=0.00 pbc="T T T"
Ca -4.789 3.207 0.221
Tb -6.672 6.031 1.006
Tb -2.905 0.384 -0.563
Rh 0.000 0.000 0.000
Rh -3.852 5.775 1.605
Rh -1.812 2.716 0.755


# 12
5
Lattice="-5.194 0.187 1.733 1.103 -3.862 3.725 1.349 3.881 3.624" Properties=species:S:1:pos:R:3 comment="CaTb3Rh | Alexandria | GGA-PBE | optimized geometry" ef_ev_per_atom=-0.28 vol_a3_per_atom=32.88 e_tot_ev_per_atom=-4.9309 m_tot_mub_per_cell=0.00 pbc="T T T"
Rh 0.000 0.000 0.000
Ca -1.371 0.103 4.541
Tb 0.552 -1.931 1.863
Tb 0.674 1.940 1.812
Tb -2.597 0.094 0.866


# 13
12
Lattice="5.065 0.000 1.507 2.308 4.509 1.507 0.000 0.000 9.263" Properties=species:S:1:pos:R:3 comment="CaTb2Rh9 | Alexandria | GGA-PBE | optimized geometry" ef_ev_per_atom=-0.47 vol_a3_per_atom=17.63 e_tot_ev_per_atom=-6.9244 m_tot_mub_per_cell=0.00 pbc="T T T"
Ca 0.000 0.000 0.000
Tb 6.355 3.886 6.435
Tb 1.018 0.622 5.843
Rh 4.919 3.008 11.261
Rh 2.454 1.501 1.017
Rh 3.687 2.254 6.139
Rh 3.077 1.881 3.556
Rh 5.610 1.881 4.309
Rh 4.231 4.136 4.309
Rh 4.297 2.627 8.722
Rh 3.142 0.372 7.968
Rh 1.763 2.627 7.968


# 14
7
Lattice="-0.995 4.264 -1.997 -3.476 -2.493 2.208 3.622 1.692 7.607" Properties=species:S:1:pos:R:3 comment="Ca2Tb2Rh3 | Alexandria | GGA-PBE | optimized geometry" ef_ev_per_atom=-0.60 vol_a3_per_atom=23.31 e_tot_ev_per_atom=-5.6463 m_tot_mub_per_cell=0.00 pbc="T T T"
Ca 0.682 1.405 2.659
Ca -1.531 2.059 5.159
Tb -1.592 2.486 0.303
Tb 0.743 0.977 7.515
Rh 0.000 0.000 0.000
Rh 1.398 2.874 5.439
Rh -2.247 0.590 2.379


# 15
3
Lattice="-1.808 -3.440 5.256 -3.110 -1.438 -2.011 3.473 -1.929 -0.068" Properties=species:S:1:pos:R:3 comment="CaTbRh | Alexandria | GGA-PBE | optimized geometry" e_above_lowest_polymorph_ev_per_atom=0.106 ef_ev_per_atom=-0.40 vol_a3_per_atom=29.79 e_tot_ev_per_atom=-5.0575 m_tot_mub_per_cell=0.00 pbc="T T T"
Rh -0.027 -0.052 0.080
Ca -2.273 -4.184 2.583
Tb 0.855 -2.570 0.515


# 16
12
Lattice="-4.202 3.290 -0.257 -4.737 -1.840 -1.651 -5.072 -1.543 7.625" Properties=species:S:1:pos:R:3 comment="Ca3TbRh8 | Alexandria | GGA-PBE | optimized geometry" ef_ev_per_atom=-0.52 vol_a3_per_atom=18.05 e_tot_ev_per_atom=-6.3062 m_tot_mub_per_cell=0.00 pbc="T T T"
Ca -7.791 -0.808 5.961
Ca -5.061 -1.533 7.583
Ca -7.017 -0.057 2.902
Tb -9.723 0.691 1.186
Rh -6.966 1.981 0.484
Rh -9.763 -1.336 3.562
Rh -4.871 0.341 0.613
Rh -11.856 0.302 3.434
Rh -3.895 -0.403 2.979
Rh -10.900 -0.449 5.835
Rh -7.232 -0.576 -0.210
Rh -9.497 1.219 4.256


# 17
6
Lattice="5.346 0.000 0.000 2.673 4.630 0.000 2.673 1.543 4.365" Properties=species:S:1:pos:R:3 comment="CaTbRh4 | Alexandria | GGA-PBE | optimized geometry" ef_ev_per_atom=-0.60 vol_a3_per_atom=18.01 e_tot_ev_per_atom=-6.6099 m_tot_mub_per_cell=0.00 pbc="T T T"
Rh 5.346 3.087 0.546
Rh 5.346 1.544 2.728
Rh 6.683 3.858 2.728
Rh 4.010 3.858 2.728
Ca 0.000 0.000 0.000
Tb 2.673 1.543 1.091


# 18
18
Lattice="7.610 0.000 0.000 3.805 7.969 0.152 3.805 2.797 7.463" Properties=species:S:1:pos:R:3 comment="CaTbRh | Alexandria | GGA-PBE | optimized geometry" e_above_lowest_polymorph_ev_per_atom=0.000 ef_ev_per_atom=-0.50 vol_a3_per_atom=24.96 e_tot_ev_per_atom=-5.1635 m_tot_mub_per_cell=0.00 pbc="T T T"
Ca 7.330 8.891 3.547
Ca 7.330 1.874 4.068
Ca 7.327 4.456 0.410
Ca 7.327 6.310 7.206
Ca 10.234 4.094 5.639
Ca 10.234 6.671 1.977
Tb 7.748 5.383 3.808
Tb 3.943 0.000 0.000
Tb 8.571 9.364 6.620
Tb 8.571 1.401 0.995
Tb 12.376 6.788 4.797
Tb 4.766 3.978 2.818
Rh 5.760 6.673 1.978
Rh 5.760 4.092 5.637
Rh 9.565 7.183 5.074
Rh 9.565 3.582 2.541
Rh 13.370 8.972 6.339
Rh 5.760 1.794 1.276


# 19
12
Lattice="-3.785 -3.674 0.242 -1.258 -2.193 4.636 -7.671 4.302 2.961" Properties=species:S:1:pos:R:3 comment="Ca2TbRh9 | Alexandria | GGA-PBE | optimized geometry" ef_ev_per_atom=-0.37 vol_a3_per_atom=17.64 e_tot_ev_per_atom=-6.6052 m_tot_mub_per_cell=0.00 pbc="T T T"
Ca -7.571 -3.227 5.441
Ca -5.144 1.662 2.397
Tb 0.000 0.000 0.000
Rh -11.027 0.384 6.211
Rh -1.687 -1.949 1.627
Rh -6.357 -0.782 3.919
Rh -3.989 -1.408 2.768
Rh -5.874 -3.238 2.889
Rh -4.616 -2.500 5.077
Rh -8.725 -0.157 5.070
Rh -8.099 0.935 2.761
Rh -6.841 1.673 4.949


# 20
12
Lattice="-3.940 1.054 2.636 3.472 -6.819 3.458 4.458 7.088 -0.628" Properties=species:S:1:pos:R:3 comment="CaTb5Rh6 | Alexandria | GGA-PBE | optimized geometry" ef_ev_per_atom=-0.78 vol_a3_per_atom=20.27 e_tot_ev_per_atom=-6.5553 m_tot_mub_per_cell=0.00 pbc="T T T"
Rh 1.187 2.704 0.703
Rh 3.138 3.350 3.372
Rh -0.927 0.873 2.748
Rh 4.917 0.449 2.717
Rh 0.852 -2.027 2.093
Rh 2.803 -1.381 4.762
Ca 0.000 0.000 0.000
Tb 2.328 5.363 1.351
Tb 4.131 2.478 0.726
Tb 1.995 0.661 2.733
Tb 3.799 -2.209 2.103
Tb 1.662 -4.040 4.114